Record 1
Below is an optimized crystal structure of ErMg2PaS6, with properties calculated at the PBE-GGA level.

Structure (CIF):
```
data_ErMg2PaS6
_chemical_formula_sum 'Er3 Mg6 Pa3 S18'
_cell_length_a 6.6439
_cell_length_b 6.6439
_cell_length_c 18.1363
_cell_angle_alpha 90.00
_cell_angle_beta 90.00
_cell_angle_gamma 120.00
_space_group_name_H-M_alt 'R 3'
_space_group_IT_number 146
_space_group_name_Hall 'R 3'
loop_
_atom_site_label
_atom_site_fract_x
_atom_site_fract_y
_atom_site_fract_z
_atom_site_occupancy
Er1 0.0000 0.0000 0.0000 1
Mg1 0.0000 0.0000 0.3017 1
Mg2 0.0000 0.0000 0.8061 1
Pa1 0.0000 0.0000 0.4957 1
S1 0.0043 0.6903 0.9015 1
S2 0.0151 0.3133 0.4019 1
```

total energy	-5.792	eV per atom

=====

Record 2
Below is an optimized crystal structure of Ta2V3W6, with properties calculated at the PBE-GGA level.

Structure (CIF):
```
data_Ta2V3W6
_chemical_formula_sum 'Ta4 V6 W12'
_cell_length_a 28.325
_cell_length_b 4.433
_cell_length_c 2.774
_cell_angle_alpha 90.00
_cell_angle_beta 93.69
_cell_angle_gamma 90.00
_space_group_name_H-M_alt 'C 1 2/m 1'
_space_group_IT_number 12
loop_
_space_group_symop_operation_xyz
'x,y,z'
'-x,-y,-z'
'-x,y,-z'
'x,-y,z'
'x+1/2,y+1/2,z'
'-x+1/2,-y+1/2,-z'
'-x+1/2,y+1/2,-z'
'x+1/2,-y+1/2,z'
loop_
_atom_site_label
_atom_site_fract_x
_atom_site_fract_y
_atom_site_fract_z
_atom_site_occupancy
Ta1 0.046 0.000 0.361 1
V1 0.000 0.500 0.000 1
V2 0.183 0.500 0.457 1
W1 0.094 0.500 0.735 1
W2 0.139 0.000 0.092 1
W3 0.228 0.000 0.816 1
```

formation energy	-0.056	eV per atom
total energy	-11.764	eV per atom

=====

Record 3
Below is an optimized crystal structure of Mg2ScSb, with properties calculated at the PBE-GGA level.

Structure (CIF):
```
data_Mg2ScSb
_chemical_formula_sum 'Mg4 Sc2 Sb2'
_cell_length_a 6.073
_cell_length_b 11.202
_cell_length_c 3.225
_cell_angle_alpha 90.00
_cell_angle_beta 121.33
_cell_angle_gamma 90.00
_space_group_name_H-M_alt 'C 1 2/m 1'
_space_group_IT_number 12
loop_
_space_group_symop_operation_xyz
'x,y,z'
'-x,-y,-z'
'-x,y,-z'
'x,-y,z'
'x+1/2,y+1/2,z'
'-x+1/2,-y+1/2,-z'
'-x+1/2,y+1/2,-z'
'x+1/2,-y+1/2,z'
loop_
_atom_site_label
_atom_site_fract_x
_atom_site_fract_y
_atom_site_fract_z
_atom_site_occupancy
Mg1 0.250 0.250 0.000 1
Sc1 0.000 0.000 0.500 1
Sb1 0.000 0.500 0.500 1
```

total energy	-3.655	eV per atom

=====

Record 4
Below is an optimized crystal structure of Tb6Pm3Ho2Tl, with properties calculated at the PBE-GGA level.

Structure (CIF):
```
data_Tb6Pm3Ho2Tl
_chemical_formula_sum 'Tb12 Pm6 Ho4 Tl2'
_cell_length_a 6.158
_cell_length_b 10.678
_cell_length_c 11.692
_cell_angle_alpha 90.00
_cell_angle_beta 100.21
_cell_angle_gamma 90.00
_space_group_name_H-M_alt 'C 1 2/m 1'
_space_group_IT_number 12
loop_
_space_group_symop_operation_xyz
'x,y,z'
'-x,-y,-z'
'-x,y,-z'
'x,-y,z'
'x+1/2,y+1/2,z'
'-x+1/2,-y+1/2,-z'
'-x+1/2,y+1/2,-z'
'x+1/2,-y+1/2,z'
loop_
_atom_site_label
_atom_site_fract_x
_atom_site_fract_y
_atom_site_fract_z
_atom_site_occupancy
Tb1 0.245 0.164 0.244 1
Tb2 0.248 0.000 0.754 1
Pm1 0.000 0.167 0.500 1
Pm2 0.000 0.500 0.500 1
Ho1 0.000 0.334 0.000 1
Tl1 0.000 0.000 0.000 1
```

formation energy	-0.012	eV per atom
total energy	-4.475	eV per atom

=====

Record 5
Below is an optimized crystal structure of SnBiP2O, with properties calculated at the PBE-GGA level.

Structure (CIF):
```
data_SnBiP2O
_chemical_formula_sum 'Sn1 Bi1 P2 O1'
_cell_length_a 5.190
_cell_length_b 5.190
_cell_length_c 3.952
_cell_angle_alpha 90.00
_cell_angle_beta 90.00
_cell_angle_gamma 90.00
_space_group_name_H-M_alt 'P 4/m m m'
_space_group_IT_number 123
_space_group_name_Hall '-P 4 2'
loop_
_atom_site_label
_atom_site_fract_x
_atom_site_fract_y
_atom_site_fract_z
_atom_site_occupancy
Sn1 0.000 0.000 0.000 1
Bi1 0.500 0.500 0.500 1
P1 0.000 0.500 0.000 1
O1 0.000 0.000 0.500 1
```

E above lowest polymorph	0.00	eV per formula unit
total energy	-4.548	eV per atom

=====

Record 6
Below is an optimized crystal structure of YEr6Sc8, with properties calculated at the PBE-GGA level.

Structure (CIF):
```
data_YEr6Sc8
_chemical_formula_sum 'Y3 Er18 Sc24'
_cell_length_a 8.5465
_cell_length_b 8.5465
_cell_length_c 19.7797
_cell_angle_alpha 90.00
_cell_angle_beta 90.00
_cell_angle_gamma 120.00
_space_group_name_H-M_alt 'R -3'
_space_group_IT_number 148
_space_group_name_Hall '-R 3'
loop_
_atom_site_label
_atom_site_fract_x
_atom_site_fract_y
_atom_site_fract_z
_atom_site_occupancy
Y1 0.0000 0.0000 0.0000 1
Er1 0.0663 0.2493 0.7103 1
Sc1 0.0000 0.0000 0.4256 1
Sc2 0.0802 0.5538 0.8099 1
```

E above lowest polymorph	1.65	eV per formula unit
formation energy	0.145	eV per atom
total energy	-5.488	eV per atom

=====

Record 7
Below is an optimized crystal structure of La2BeTl, with properties calculated at the PBE-GGA level.

Structure (CIF):
```
data_La2BeTl
_chemical_formula_sum 'La8 Be4 Tl4'
_cell_length_a 7.501
_cell_length_b 7.501
_cell_length_c 7.501
_cell_angle_alpha 90.00
_cell_angle_beta 90.00
_cell_angle_gamma 90.00
_space_group_name_H-M_alt 'F -4 3 m'
_space_group_IT_number 216
_space_group_name_Hall 'F -4 2 3'
loop_
_atom_site_label
_atom_site_fract_x
_atom_site_fract_y
_atom_site_fract_z
_atom_site_occupancy
La1 0.000 0.000 0.000 1
La2 0.250 0.250 0.250 1
Be1 0.250 0.250 0.750 1
Tl1 0.000 0.000 0.500 1
```

E above lowest polymorph	1.96	eV per formula unit
formation energy	0.386	eV per atom
total energy	-3.601	eV per atom

=====

Record 8
Below is an optimized crystal structure of Sc2ZnSb, with properties calculated at the PBE-GGA level.

Structure (CIF):
```
data_Sc2ZnSb
_chemical_formula_sum 'Sc2 Zn1 Sb1'
_cell_length_a 3.693
_cell_length_b 3.693
_cell_length_c 6.198
_cell_angle_alpha 90.00
_cell_angle_beta 90.00
_cell_angle_gamma 90.00
_space_group_name_H-M_alt 'P 4/m m m'
_space_group_IT_number 123
_space_group_name_Hall '-P 4 2'
loop_
_atom_site_label
_atom_site_fract_x
_atom_site_fract_y
_atom_site_fract_z
_atom_site_occupancy
Sc1 0.000 0.000 0.247 1
Zn1 0.500 0.500 0.000 1
Sb1 0.500 0.500 0.500 1
```

E above lowest polymorph	0.34	eV per formula unit
total energy	-5.039	eV per atom

=====

Record 9
Below is an optimized crystal structure of MoRuRh2, with properties calculated at the PBE-GGA level.

Structure (CIF):
```
data_MoRuRh2
_chemical_formula_sum 'Mo4 Ru4 Rh8'
_cell_length_a 6.197
_cell_length_b 6.197
_cell_length_c 6.197
_cell_angle_alpha 90.00
_cell_angle_beta 90.00
_cell_angle_gamma 90.00
_space_group_name_H-M_alt 'F m -3 m'
_space_group_IT_number 225
_space_group_name_Hall '-F 4 2 3'
loop_
_atom_site_label
_atom_site_fract_x
_atom_site_fract_y
_atom_site_fract_z
_atom_site_occupancy
Mo1 0.000 0.000 0.000 1
Ru1 0.000 0.000 0.500 1
Rh1 0.250 0.250 0.250 1
```

E above lowest polymorph	2.17	eV per formula unit
formation energy	0.333	eV per atom
total energy	-8.369	eV per atom

=====

Record 10
Below is an optimized crystal structure of AgHgPdBr6, with properties calculated at the PBE-GGA level.

Structure (CIF):
```
data_AgHgPdBr6
_chemical_formula_sum 'Ag2 Hg2 Pd2 Br12'
_cell_length_a 6.9057
_cell_length_b 6.9057
_cell_length_c 12.3396
_cell_angle_alpha 90.00
_cell_angle_beta 90.00
_cell_angle_gamma 120.00
_space_group_name_H-M_alt 'P -3 1 c'
_space_group_IT_number 163
_space_group_name_Hall '-P 3 2c'
loop_
_atom_site_label
_atom_site_fract_x
_atom_site_fract_y
_atom_site_fract_z
_atom_site_occupancy
Ag1 0.0000 0.0000 0.0000 1
Hg1 0.3333 0.6667 0.2500 1
Pd1 0.3333 0.6667 0.7500 1
Br1 0.0315 0.3599 0.6274 1
```

total energy	-2.319	eV per atom

=====

Record 11
Below is an optimized crystal structure of Bi3CI, with properties calculated at the PBE-GGA level.

Structure (CIF):
```
data_Bi3CI
_chemical_formula_sum 'Bi3 C1 I1'
_cell_length_a 5.973
_cell_length_b 5.973
_cell_length_c 5.973
_cell_angle_alpha 90.00
_cell_angle_beta 90.00
_cell_angle_gamma 90.00
_space_group_name_H-M_alt 'P m -3 m'
_space_group_IT_number 221
_space_group_name_Hall '-P 4 2 3'
loop_
_atom_site_label
_atom_site_fract_x
_atom_site_fract_y
_atom_site_fract_z
_atom_site_occupancy
Bi1 0.000 0.000 0.500 1
C1 0.500 0.500 0.500 1
I1 0.000 0.000 0.000 1
```

E above lowest polymorph	6.77	eV per formula unit
total energy	-2.149	eV per atom

=====

Record 12
Below is an optimized crystal structure of La7Tb4Th, with properties calculated at the PBE-GGA level.

Structure (CIF):
```
data_La7Tb4Th
_chemical_formula_sum 'La7 Tb4 Th1'
_cell_length_a 6.426
_cell_length_b 7.392
_cell_length_c 9.060
_cell_angle_alpha 89.72
_cell_angle_beta 76.53
_cell_angle_gamma 89.97
_space_group_name_H-M_alt 'P -1'
_space_group_IT_number 2
loop_
_space_group_symop_operation_xyz
'x,y,z'
'-x,-y,-z'
loop_
_atom_site_label
_atom_site_fract_x
_atom_site_fract_y
_atom_site_fract_z
_atom_site_occupancy
La1 0.000 0.000 0.000 1
La2 0.225 0.000 0.336 1
La3 0.278 0.256 0.670 1
La4 0.498 0.261 0.003 1
Tb1 0.213 0.500 0.330 1
Tb2 0.274 0.739 0.673 1
Th1 0.000 0.500 0.000 1
```

formation energy	0.016	eV per atom
total energy	-5.020	eV per atom

=====

Record 13
Below is an optimized crystal structure of Tm8Te3Pb4, with properties calculated at the PBE-GGA level.

Structure (CIF):
```
data_Tm8Te3Pb4
_chemical_formula_sum 'Tm16 Te6 Pb8'
_cell_length_a 12.266
_cell_length_b 12.279
_cell_length_c 8.604
_cell_angle_alpha 90.00
_cell_angle_beta 134.49
_cell_angle_gamma 90.00
_space_group_name_H-M_alt 'C 1 2/m 1'
_space_group_IT_number 12
loop_
_space_group_symop_operation_xyz
'x,y,z'
'-x,-y,-z'
'-x,y,-z'
'x,-y,z'
'x+1/2,y+1/2,z'
'-x+1/2,-y+1/2,-z'
'-x+1/2,y+1/2,-z'
'x+1/2,-y+1/2,z'
loop_
_atom_site_label
_atom_site_fract_x
_atom_site_fract_y
_atom_site_fract_z
_atom_site_occupancy
Tm1 0.000 0.248 0.000 1
Tm2 0.000 0.252 0.500 1
Tm3 0.249 0.000 0.000 1
Tm4 0.250 0.000 0.491 1
Te1 0.000 0.500 0.000 1
Te2 0.250 0.250 0.500 1
Pb1 0.000 0.000 0.000 1
Pb2 0.000 0.500 0.500 1
Pb3 0.250 0.250 0.000 1
```

total energy	-4.645	eV per atom

=====

Record 14
Below is an optimized crystal structure of Ba2GaS, with properties calculated at the PBE-GGA level.

Structure (CIF):
```
data_Ba2GaS
_chemical_formula_sum 'Ba8 Ga4 S4'
_cell_length_a 8.491
_cell_length_b 8.491
_cell_length_c 9.215
_cell_angle_alpha 90.00
_cell_angle_beta 90.00
_cell_angle_gamma 90.00
_space_group_name_H-M_alt 'I -4 2 d'
_space_group_IT_number 122
_space_group_name_Hall 'I -4 2bw'
loop_
_atom_site_label
_atom_site_fract_x
_atom_site_fract_y
_atom_site_fract_z
_atom_site_occupancy
Ba1 0.212 0.750 0.125 1
Ga1 0.000 0.000 0.500 1
S1 0.000 0.000 0.000 1
```

E above lowest polymorph	0.00	eV per formula unit
total energy	-3.569	eV per atom

=====

Record 15
Below is an optimized crystal structure of TaRh2Br, with properties calculated at the PBE-GGA level.

Structure (CIF):
```
data_TaRh2Br
_chemical_formula_sum 'Ta1 Rh2 Br1'
_cell_length_a 4.778
_cell_length_b 4.778
_cell_length_c 2.945
_cell_angle_alpha 90.00
_cell_angle_beta 90.00
_cell_angle_gamma 90.00
_space_group_name_H-M_alt 'P 4/m m m'
_space_group_IT_number 123
_space_group_name_Hall '-P 4 2'
loop_
_atom_site_label
_atom_site_fract_x
_atom_site_fract_y
_atom_site_fract_z
_atom_site_occupancy
Ta1 0.000 0.000 0.000 1
Rh1 0.000 0.500 0.500 1
Br1 0.500 0.500 0.000 1
```

E above lowest polymorph	2.62	eV per formula unit
total energy	-6.640	eV per atom

=====

Record 16
Below is an optimized crystal structure of ZnHg3Ru, with properties calculated at the PBE-GGA level.

Structure (CIF):
```
data_ZnHg3Ru
_chemical_formula_sum 'Zn1 Hg3 Ru1'
_cell_length_a 5.005
_cell_length_b 5.005
_cell_length_c 5.005
_cell_angle_alpha 90.00
_cell_angle_beta 90.00
_cell_angle_gamma 90.00
_space_group_name_H-M_alt 'P m -3 m'
_space_group_IT_number 221
_space_group_name_Hall '-P 4 2 3'
loop_
_atom_site_label
_atom_site_fract_x
_atom_site_fract_y
_atom_site_fract_z
_atom_site_occupancy
Zn1 0.000 0.000 0.000 1
Hg1 0.000 0.000 0.500 1
Ru1 0.500 0.500 0.500 1
```

E above lowest polymorph	1.96	eV per formula unit
formation energy	1.032	eV per atom
total energy	-1.259	eV per atom

=====

Record 17
Below is an optimized crystal structure of Sc2PPb, with properties calculated at the PBE-GGA level.

Structure (CIF):
```
data_Sc2PPb
_chemical_formula_sum 'Sc6 P3 Pb3'
_cell_length_a 3.6346
_cell_length_b 3.6346
_cell_length_c 25.8851
_cell_angle_alpha 90.00
_cell_angle_beta 90.00
_cell_angle_gamma 120.00
_space_group_name_H-M_alt 'R 3 m'
_space_group_IT_number 160
_space_group_name_Hall 'R 3 -2"'
loop_
_atom_site_label
_atom_site_fract_x
_atom_site_fract_y
_atom_site_fract_z
_atom_site_occupancy
Sc1 0.0000 0.0000 0.0000 1
Sc2 0.0000 0.0000 0.2335 1
P1 0.0000 0.0000 0.5087 1
Pb1 0.0000 0.0000 0.7652 1
```

E above lowest polymorph	3.52	eV per formula unit
formation energy	-0.108	eV per atom
total energy	-5.553	eV per atom

=====

Record 18
Below is an optimized crystal structure of KLa2Sc, with properties calculated at the PBE-GGA level.

Structure (CIF):
```
data_KLa2Sc
_chemical_formula_sum 'K2 La4 Sc2'
_cell_length_a 3.739
_cell_length_b 6.067
_cell_length_c 13.146
_cell_angle_alpha 90.00
_cell_angle_beta 90.00
_cell_angle_gamma 90.00
_space_group_name_H-M_alt 'C m m 2'
_space_group_IT_number 35
loop_
_space_group_symop_operation_xyz
'x,y,z'
'-x,-y,z'
'-x,y,z'
'x,-y,z'
'x+1/2,y+1/2,z'
'-x+1/2,-y+1/2,z'
'-x+1/2,y+1/2,z'
'x+1/2,-y+1/2,z'
loop_
_atom_site_label
_atom_site_fract_x
_atom_site_fract_y
_atom_site_fract_z
_atom_site_occupancy
K1 0.000 0.000 0.000 1
La1 0.000 0.000 0.528 1
La2 0.000 0.500 0.287 1
Sc1 0.000 0.500 0.735 1
```

E above lowest polymorph	0.54	eV per formula unit
formation energy	0.328	eV per atom
total energy	-3.993	eV per atom

=====

Record 19
Below is an optimized crystal structure of TlCdHg2Pd, with properties calculated at the PBE-GGA level.

Structure (CIF):
```
data_TlCdHg2Pd
_chemical_formula_sum 'Tl1 Cd1 Hg2 Pd1'
_cell_length_a 5.297
_cell_length_b 5.297
_cell_length_c 5.237
_cell_angle_alpha 90.00
_cell_angle_beta 90.00
_cell_angle_gamma 90.00
_space_group_name_H-M_alt 'P 4/m m m'
_space_group_IT_number 123
_space_group_name_Hall '-P 4 2'
loop_
_atom_site_label
_atom_site_fract_x
_atom_site_fract_y
_atom_site_fract_z
_atom_site_occupancy
Tl1 0.000 0.000 0.000 1
Cd1 0.500 0.500 0.000 1
Hg1 0.000 0.500 0.500 1
Pd1 0.500 0.500 0.500 1
```

E above lowest polymorph	0.00	eV per formula unit
formation energy	-0.003	eV per atom
total energy	-1.818	eV per atom

=====

Record 20
Below is an optimized crystal structure of CdCoTe2N, with properties calculated at the PBE-GGA level.

Structure (CIF):
```
data_CdCoTe2N
_chemical_formula_sum 'Cd1 Co1 Te2 N1'
_cell_length_a 5.715
_cell_length_b 5.715
_cell_length_c 4.059
_cell_angle_alpha 90.00
_cell_angle_beta 90.00
_cell_angle_gamma 90.00
_space_group_name_H-M_alt 'P 4/m m m'
_space_group_IT_number 123
_space_group_name_Hall '-P 4 2'
loop_
_atom_site_label
_atom_site_fract_x
_atom_site_fract_y
_atom_site_fract_z
_atom_site_occupancy
Cd1 0.000 0.000 0.000 1
Co1 0.500 0.500 0.500 1
Te1 0.000 0.500 0.000 1
N1 0.000 0.000 0.500 1
```

E above lowest polymorph	6.30	eV per formula unit
total energy	-3.033	eV per atom

=====

Quick rundown of D(E_F), same order as above: 0.0000 0.8014 0.5802 1.3538 0.8354 1.6553 2.0118 0.6535 1.3961 0.6094 2.4794 1.5212 0.5016 0.9725 0.9972 0.6047 1.1057 2.0244 0.5017 1.0989 states/eV per atom